Record 1
Entry from Alexandria: crystalline MnGa3Pd12 at its relaxed geometry (PBE).

Properties
D(E_F)   16.86 states/eV per cell
Formation energy   -609 kJ/mol of formula units
Space-group type   No. 123
Magnetization   4.092 Bohr magnetons per cell

Lattice parameters (Å, degrees): 3.9388 3.9388 15.5468 90.00 90.00 90.00
Closest atoms and distances in Å follow each position.
Positions (direct):
Mn: 0.0000 0.0000 0.0000  12 Pd 2.77-2.79
Ga: 0.0000 0.0000 0.2516  12 Pd 2.74-2.79
Ga: 0.0000 0.0000 0.5000  12 Pd 2.77-2.79
Ga: 0.0000 0.0000 0.7484  12 Pd 2.74-2.79
Pd: 0.5000 0.5000 0.0000  8 Pd 2.77, 4 Mn 2.79
Pd: 0.5000 0.5000 0.2490  8 Pd 2.76-2.77, 4 Ga 2.79
Pd: 0.5000 0.5000 0.5000  8 Pd 2.77, 4 Ga 2.79
Pd: 0.5000 0.5000 0.7510  8 Pd 2.76-2.77, 4 Ga 2.79
Pd: 0.5000 0.0000 0.1249  8 Pd 2.76-2.79, 2 Mn 2.77, 2 Ga 2.79
Pd: 0.5000 0.0000 0.3744  4 Ga 2.74-2.77, 8 Pd 2.77-2.79
Pd: 0.5000 0.0000 0.6256  4 Ga 2.74-2.77, 8 Pd 2.77-2.79
Pd: 0.5000 0.0000 0.8751  8 Pd 2.76-2.79, 2 Mn 2.77, 2 Ga 2.79
Pd: 0.0000 0.5000 0.1249  8 Pd 2.76-2.79, 2 Mn 2.77, 2 Ga 2.79
Pd: 0.0000 0.5000 0.3744  4 Ga 2.74-2.77, 8 Pd 2.77-2.79
Pd: 0.0000 0.5000 0.6256  4 Ga 2.74-2.77, 8 Pd 2.77-2.79
Pd: 0.0000 0.5000 0.8751  8 Pd 2.76-2.79, 2 Mn 2.77, 2 Ga 2.79

Record 2
Entry from Alexandria: crystalline Pr2MnGa4Pd3 at its relaxed geometry (PBE).

Properties
D(E_F)   7.54 states/eV per cell
Formation energy   -636 kJ/mol of formula units
Space-group type   No. 115
Magnetization   3.076 Bohr magnetons per cell

Lattice parameters (Å, degrees): 4.2763 4.2763 10.7050 90.00 90.00 90.00
Closest atoms and distances in Å follow each position.
Positions (direct):
Pr: 0.5000 0.0000 0.2505  8 Ga 3.27-3.43, 6 Pd 3.28-3.42, 2 Mn 3.42
Pr: 0.0000 0.5000 0.7495  8 Ga 3.27-3.43, 6 Pd 3.28-3.42, 2 Mn 3.42
Mn: 0.5000 0.5000 0.5000  4 Ga 2.56
Ga: 0.5000 0.5000 0.0000  4 Pd 2.56
Ga: 0.0000 0.0000 0.0000  4 Pd 2.56
Ga: 0.5000 0.0000 0.6322  3 Pd 2.53-2.56, 2 Mn 2.56
Ga: 0.0000 0.5000 0.3678  3 Pd 2.53-2.56, 2 Mn 2.56
Pd: 0.0000 0.0000 0.5000  4 Ga 2.56
Pd: 0.5000 0.0000 0.8687  5 Ga 2.53-2.56
Pd: 0.0000 0.5000 0.1313  5 Ga 2.53-2.56

Record 3
Entry from Alexandria: crystalline MnGaPdRh at its relaxed geometry (PBE).

Properties
D(E_F)   1.92 states/eV per cell
Formation energy   -187 kJ/mol of formula units
Space-group type   No. 216
Magnetization   4.390 Bohr magnetons per cell

Lattice parameters (Å, degrees): 4.3330 4.3330 4.3330 60.00 60.00 60.00
Closest atoms and distances in Å follow each position.
Positions (direct):
Mn: 0.7500 0.7500 0.7500  4 Rh 2.65, 4 Pd 2.65
Rh: 0.5000 0.5000 0.5000  4 Mn 2.65, 4 Ga 2.65
Ga: 0.2500 0.2500 0.2500  4 Pd 2.65, 4 Rh 2.65
Pd: 0.0000 0.0000 0.0000  4 Mn 2.65, 4 Ga 2.65

Record 4
Entry from Alexandria: crystalline ScMnGaPd at its relaxed geometry (PBE).

Properties
D(E_F)   2.55 states/eV per cell
Formation energy   -168 kJ/mol of formula units
Space-group type   No. 216
Magnetization   4.117 Bohr magnetons per cell

Lattice parameters (Å, degrees): 4.5569 4.5569 4.5569 60.00 60.00 60.00
Closest atoms and distances in Å follow each position.
Positions (direct):
Sc: 0.7500 0.7500 0.7500  4 Pd 2.79, 4 Ga 2.79
Mn: 0.2500 0.2500 0.2500  4 Ga 2.79, 4 Pd 2.79
Ga: 0.0000 0.0000 0.0000  4 Sc 2.79, 4 Mn 2.79
Pd: 0.5000 0.5000 0.5000  4 Mn 2.79, 4 Sc 2.79

Record 5
Entry from Alexandria: crystalline MnGa2SiPd at its relaxed geometry (PBE).

Properties
D(E_F)   2.38 states/eV per cell
Space-group type   No. 123
Final energy   -4.63 eV per atom
Magnetization   4.662 Bohr magnetons per cell

Lattice parameters (Å, degrees): 5.0022 4.7336 5.0022 90.00 90.00 90.00
Closest atoms and distances in Å follow each position.
Positions (direct):
Si: 0.0000 0.0000 0.0000  2 Pd 2.37, 4 Ga 2.50
Mn: 0.5000 0.5000 0.5000  8 Ga 3.44, 4 Pd 3.54
Ga: 0.0000 0.0000 0.5000  2 Si 2.50
Ga: 0.5000 0.0000 0.0000  2 Si 2.50
Pd: 0.0000 0.5000 0.0000  2 Si 2.37

Record 6
Entry from Alexandria: crystalline MnGaSn2Pd at its relaxed geometry (PBE).

Properties
D(E_F)   2.44 states/eV per cell
Formation energy   128 kJ/mol of formula units
Space-group type   No. 123
Magnetization   0.134 Bohr magnetons per cell

Lattice parameters (Å, degrees): 4.8859 4.6328 4.8859 90.00 90.00 90.00
Closest atoms and distances in Å follow each position.
Positions (direct):
Ga: 0.0000 0.5000 0.0000  2 Mn 2.32
Mn: 0.0000 0.0000 0.0000  2 Ga 2.32, 4 Sn 2.44
Sn: 0.0000 0.0000 0.5000  2 Mn 2.44
Sn: 0.5000 0.0000 0.0000  2 Mn 2.44
Pd: 0.5000 0.5000 0.5000  8 Sn 3.37, 4 Ga 3.45

Record 7
Entry from Alexandria: crystalline Tb2MnGa2Pd5 at its relaxed geometry (PBE).

Properties
D(E_F)   11.86 states/eV per cell
Formation energy   -633 kJ/mol of formula units
Space-group type   No. 127
Magnetization   6.868 Bohr magnetons per cell

Lattice parameters (Å, degrees): 3.6617 9.9018 9.9018 90.00 90.00 90.00
Closest atoms and distances in Å follow each position.
Positions (direct):
Tb: 0.0000 0.6752 0.1752  3 Ga 2.80-3.01, 2 Pd 3.06
Tb: 0.0000 0.3248 0.8248  3 Ga 2.80-3.01, 2 Pd 3.06
Tb: 0.0000 0.1752 0.3248  3 Ga 2.80-3.01, 2 Pd 3.06
Tb: 0.0000 0.8248 0.6752  3 Ga 2.80-3.01, 2 Pd 3.06
Mn: 0.0000 0.0000 0.0000  8 Pd 2.77
Mn: 0.0000 0.5000 0.5000  8 Pd 2.77
Ga: 0.0000 0.1245 0.6245  6 Pd 2.53-2.60, 1 Tb 2.80
Ga: 0.0000 0.8755 0.3755  6 Pd 2.53-2.60, 1 Tb 2.80
Ga: 0.0000 0.6245 0.8755  6 Pd 2.53-2.60, 1 Tb 2.80
Ga: 0.0000 0.3755 0.1245  6 Pd 2.53-2.60, 1 Tb 2.80
Pd: 0.5000 0.2011 0.0599  2 Ga 2.60, 2 Mn 2.77
Pd: 0.5000 0.7989 0.9401  2 Ga 2.60, 2 Mn 2.77
Pd: 0.5000 0.0599 0.7989  2 Ga 2.60, 2 Mn 2.77
Pd: 0.5000 0.7011 0.4401  2 Ga 2.60, 2 Mn 2.77
Pd: 0.5000 0.9401 0.2011  2 Ga 2.60, 2 Mn 2.77
Pd: 0.5000 0.2989 0.5599  2 Ga 2.60, 2 Mn 2.77
Pd: 0.5000 0.5599 0.7011  2 Ga 2.60, 2 Mn 2.77
Pd: 0.5000 0.4401 0.2989  2 Ga 2.60, 2 Mn 2.77
Pd: 0.5000 0.5000 0.0000  4 Ga 2.53
Pd: 0.5000 0.0000 0.5000  4 Ga 2.53

Record 8
Entry from Alexandria: crystalline MnGaTcPd at its relaxed geometry (PBE).

Properties
D(E_F)   3.57 states/eV per cell
Formation energy   -79 kJ/mol of formula units
Space-group type   No. 216
Magnetization   2.949 Bohr magnetons per cell

Lattice parameters (Å, degrees): 4.3152 4.3152 4.3152 60.00 60.00 60.00
Closest atoms and distances in Å follow each position.
Positions (direct):
Ga: 0.2500 0.2500 0.2500  4 Pd 2.64, 4 Tc 2.64
Mn: 0.7500 0.7500 0.7500  4 Pd 2.64, 4 Tc 2.64
Tc: 0.0000 0.0000 0.0000  4 Mn 2.64, 4 Ga 2.64
Pd: 0.5000 0.5000 0.5000  4 Mn 2.64, 4 Ga 2.64

Record 9
Entry from Alexandria: crystalline TiMnGaPd at its relaxed geometry (PBE).

Properties
D(E_F)   0.95 states/eV per cell
Formation energy   -149 kJ/mol of formula units
Space-group type   No. 216
Magnetization   0.000 Bohr magnetons per cell

Lattice parameters (Å, degrees): 4.2809 4.2809 4.2809 60.00 60.00 60.00
Closest atoms and distances in Å follow each position.
Positions (direct):
Mn: 0.0000 0.0000 0.0000  4 Ga 2.62, 4 Ti 2.62
Ga: 0.2500 0.2500 0.2500  4 Mn 2.62, 4 Pd 2.62
Pd: 0.5000 0.5000 0.5000  4 Ti 2.62, 4 Ga 2.62
Ti: 0.7500 0.7500 0.7500  4 Pd 2.62, 4 Mn 2.62

Record 10
Entry from Alexandria: crystalline MnVGaPd at its relaxed geometry (PBE).

Properties
D(E_F)   4.11 states/eV per cell
Formation energy   -69 kJ/mol of formula units
Space-group type   No. 216
Magnetization   0.907 Bohr magnetons per cell

Lattice parameters (Å, degrees): 4.3021 4.3021 4.3021 60.00 60.00 60.00
Closest atoms and distances in Å follow each position.
Positions (direct):
Mn: 0.7500 0.7500 0.7500  4 Ga 2.63, 4 V 2.63
Ga: 0.5000 0.5000 0.5000  4 Mn 2.63, 4 Pd 2.63
Pd: 0.2500 0.2500 0.2500  4 V 2.63, 4 Ga 2.63
V: 0.0000 0.0000 0.0000  4 Mn 2.63, 4 Pd 2.63

| no. | calculated volume (Å³/cell) |
| --- | --- |
| 1 | 241.2 |
| 2 | 195.8 |
| 3 | 57.5 |
| 4 | 66.9 |
| 5 | 118.4 |
| 6 | 110.6 |
| 7 | 359.0 |
| 8 | 56.8 |
| 9 | 55.5 |
| 10 | 56.3 |